1.
{
  "formula": "HoZnSn2",
  "functional": "GGA-PBEsol",
  "state": "relaxed",
  "e_tot_ev_per_atom": -4.26,
  "density_g_cm3": 8.83,
  "cell": [[4.2789, 0.0000, 0.0000], [0.0000, 4.2789, 0.0000], [0.0000, 0.0000, 9.6037]],
  "species": ["Ho", "Ho", "Zn", "Zn", "Sn", "Sn", "Sn", "Sn"],
  "frac_coords": [[0.2500, 0.2500, 0.2476], [0.7500, 0.7500, 0.7524], [0.2500, 0.7500, 0.0000], [0.7500, 0.2500, 0.0000], [0.2500, 0.2500, 0.8136], [0.2500, 0.7500, 0.5000], [0.7500, 0.2500, 0.5000], [0.7500, 0.7500, 0.1864]]
}


2.
{
  "formula": "TbHo",
  "functional": "GGA-PBEsol",
  "state": "relaxed",
  "e_tot_ev_per_atom": -4.96,
  "density_g_cm3": 9.03,
  "cell": [[3.5248, 0.0000, 0.0000], [-1.7624, 3.0526, 0.0000], [0.0000, 0.0000, 5.5344]],
  "species": ["Tb", "Ho"],
  "frac_coords": [[0.0000, 0.0000, 0.0000], [0.6667, 0.3333, 0.5000]]
}


3.
{
  "formula": "Tb3Ho",
  "functional": "GGA-PBEsol",
  "state": "relaxed",
  "e_tot_ev_per_atom": -4.98,
  "density_g_cm3": 9.02,
  "cell": [[4.9067, 0.0000, 0.0000], [0.0000, 4.9067, 0.0000], [0.0000, 0.0000, 4.9067]],
  "species": ["Tb", "Tb", "Tb", "Ho"],
  "frac_coords": [[0.0000, 0.0000, 0.5000], [0.0000, 0.5000, 0.0000], [0.5000, 0.0000, 0.0000], [0.5000, 0.5000, 0.5000]]
}


4.
{
  "formula": "Tb3Ho",
  "functional": "GGA-PBEsol",
  "state": "relaxed",
  "e_tot_ev_per_atom": -4.98,
  "density_g_cm3": 9.02,
  "cell": [[-2.4530, 2.4530, 4.9075], [2.4530, -2.4530, 4.9075], [2.4530, 2.4530, -4.9075]],
  "species": ["Tb", "Tb", "Tb", "Ho"],
  "frac_coords": [[0.0000, 0.0000, 0.0000], [0.2500, 0.7500, 0.5000], [0.7500, 0.2500, 0.5000], [0.5000, 0.5000, 0.0000]]
}


5.
{
  "formula": "Ho2ZnTc",
  "functional": "GGA-PBEsol",
  "state": "relaxed",
  "e_tot_ev_per_atom": -5.83,
  "density_g_cm3": 10.35,
  "cell": [[0.0000, 3.4073, 3.4073], [3.4073, 0.0000, 3.4073], [3.4073, 3.4073, 0.0000]],
  "species": ["Ho", "Ho", "Zn", "Tc"],
  "frac_coords": [[0.2500, 0.2500, 0.2500], [0.7500, 0.7500, 0.7500], [0.0000, 0.0000, 0.0000], [0.5000, 0.5000, 0.5000]]
}


6.
{
  "formula": "HoTe2",
  "functional": "GGA-PBEsol",
  "state": "relaxed",
  "raw_formation_energy_mev_per_atom": -1167.2,
  "density_g_cm3": 8.41,
  "cell": [[4.3678, 0.0000, 0.0000], [0.0000, 4.3678, 0.0000], [0.0000, 0.0000, 8.6938]],
  "species": ["Ho", "Ho", "Te", "Te", "Te", "Te"],
  "frac_coords": [[0.2500, 0.2500, 0.2303], [0.7500, 0.7500, 0.7697], [0.2500, 0.2500, 0.8714], [0.2500, 0.7500, 0.5000], [0.7500, 0.2500, 0.5000], [0.7500, 0.7500, 0.1286]]
}


What is the formula in the third record?
Tb3Ho


What is the formula in the second record?
TbHo